1.
First-principles (GGA-PBE) data for crystalline Sm2Dy3Th at its relaxed geometry, as listed in Alexandria via LeMat-Bulk.

DFT formation energy (eV per atom): 0.04
E above lowest polymorph (kJ per mole of atoms): 0.0

Unit cell a=6.201 b=10.735 c=6.205 alpha=73.18 beta=80.39 gamma=84.38
Fractional positions:
Sm1 0.878 0.624 0.627
Sm2 0.376 0.128 0.121
Sm3 0.624 0.872 0.879
Sm4 0.122 0.376 0.373
Dy1 0.631 0.209 0.542
Dy2 0.369 0.791 0.458
Dy3 0.121 0.040 0.713
Dy4 0.627 0.542 0.204
Dy5 0.373 0.458 0.796
Dy6 0.879 0.960 0.287
Th1 0.127 0.710 0.039
Th2 0.873 0.290 0.961

---

2.
First-principles (GGA-PBE) data for crystalline SmDy4Th2 at its relaxed geometry, as listed in Alexandria via LeMat-Bulk.

DFT formation energy (eV per atom): 0.10

Unit cell a=3.509 b=9.497 c=8.765 alpha=122.02 beta=78.51 gamma=111.64
Fractional positions:
Sm1 0.000 0.000 0.000
Dy1 0.410 0.706 0.589
Dy2 0.801 0.153 0.708
Dy3 0.590 0.294 0.411
Dy4 0.199 0.847 0.292
Th1 0.368 0.437 0.138
Th2 0.632 0.563 0.862

---

3.
First-principles (GGA-PBE) data for crystalline SmDy3Th2 at its relaxed geometry, as listed in Alexandria via LeMat-Bulk.

DFT formation energy (eV per atom): 0.05
E above lowest polymorph (kJ per mole of atoms): 1.4

Unit cell a=7.123 b=6.192 c=11.848 alpha=110.46 beta=90.03 gamma=125.09
Fractional positions:
Sm1 0.125 0.000 0.250
Sm2 0.875 0.000 0.750
Dy1 0.375 0.000 0.750
Dy2 0.625 0.000 0.250
Dy3 0.958 0.667 0.917
Dy4 0.291 0.333 0.583
Dy5 0.709 0.667 0.417
Dy6 0.042 0.333 0.083
Th1 0.211 0.672 0.423
Th2 0.461 0.673 0.923
Th3 0.539 0.327 0.077
Th4 0.789 0.328 0.577

---

4.
First-principles (GGA-PBE) data for crystalline SmDy6Th8 at its relaxed geometry, as listed in Alexandria via LeMat-Bulk.

DFT formation energy (eV per atom): 0.14

Unit cell a=8.835 b=8.835 c=8.807 alpha=59.89 beta=59.89 gamma=60.00
Fractional positions:
Sm1 0.000 0.000 0.000
Dy1 0.069 0.534 0.125
Dy2 0.729 0.931 0.875
Dy3 0.466 0.729 0.875
Dy4 0.534 0.271 0.125
Dy5 0.271 0.069 0.125
Dy6 0.931 0.466 0.875
Th1 0.880 0.336 0.590
Th2 0.806 0.120 0.410
Th3 0.664 0.806 0.410
Th4 0.423 0.423 0.732
Th5 0.577 0.577 0.268
Th6 0.336 0.194 0.590
Th7 0.194 0.880 0.590
Th8 0.120 0.664 0.410

---

5.
First-principles (GGA-PBE) data for crystalline Sm2DyTh2 at its relaxed geometry, as listed in Alexandria via LeMat-Bulk.

DFT formation energy (eV per atom): 0.03
E above lowest polymorph (kJ per mole of atoms): 0.0

Unit cell a=3.601 b=3.601 c=14.702 alpha=82.97 beta=82.97 gamma=60.00
Fractional positions:
Sm1 0.798 0.798 0.607
Sm2 0.202 0.202 0.393
Dy1 0.000 0.000 0.000
Th1 0.399 0.399 0.802
Th2 0.601 0.601 0.198

---

6.
First-principles (GGA-PBE) data for crystalline Sm3Dy2Th6 at its relaxed geometry, as listed in Alexandria via LeMat-Bulk.

DFT formation energy (eV per atom): 0.04

Unit cell a=3.586 b=3.586 c=32.066 alpha=86.79 beta=86.79 gamma=60.00
Fractional positions:
Sm1 0.000 0.000 0.000
Sm2 0.728 0.728 0.817
Sm3 0.272 0.272 0.183
Dy1 0.545 0.545 0.364
Dy2 0.455 0.455 0.636
Th1 0.909 0.909 0.274
Th2 0.091 0.091 0.726
Th3 0.819 0.819 0.544
Th4 0.181 0.181 0.456
Th5 0.636 0.636 0.091
Th6 0.364 0.364 0.909

---

7.
First-principles (GGA-PBE) data for crystalline SmDy5Th4 at its relaxed geometry, as listed in Alexandria via LeMat-Bulk.

DFT formation energy (eV per atom): 0.11

Unit cell a=3.486 b=11.615 c=11.929 alpha=136.59 beta=98.40 gamma=90.00
Fractional positions:
Sm1 0.500 0.000 0.000
Dy1 0.211 0.308 0.423
Dy2 0.193 0.802 0.386
Dy3 0.807 0.198 0.614
Dy4 0.500 0.500 0.000
Dy5 0.789 0.692 0.577
Th1 0.598 0.902 0.197
Th2 0.090 0.389 0.180
Th3 0.402 0.098 0.803
Th4 0.910 0.611 0.820

---

8.
First-principles (GGA-PBE) data for crystalline Sm6DyTh at its relaxed geometry, as listed in Alexandria via LeMat-Bulk.

DFT formation energy (eV per atom): 0.04
E above lowest polymorph (kJ per mole of atoms): 0.0

Unit cell a=5.106 b=5.106 c=10.200 alpha=90.00 beta=90.00 gamma=90.00
Fractional positions:
Sm1 0.500 0.500 0.000
Sm2 0.500 0.500 0.500
Sm3 0.500 0.000 0.252
Sm4 0.500 0.000 0.748
Sm5 0.000 0.500 0.252
Sm6 0.000 0.500 0.748
Dy1 0.000 0.000 0.000
Th1 0.000 0.000 0.500

---

9.
First-principles (GGA-PBE) data for crystalline Sm3Dy8Th2 at its relaxed geometry, as listed in Alexandria via LeMat-Bulk.

DFT formation energy (eV per atom): 0.08
E above lowest polymorph (kJ per mole of atoms): 0.0

Unit cell a=14.353 b=6.804 c=15.787 alpha=69.62 beta=107.27 gamma=144.16
Fractional positions:
Sm1 0.451 0.447 0.356
Sm2 0.500 0.000 0.500
Sm3 0.952 0.456 0.858
Sm4 0.048 0.544 0.142
Sm5 0.000 0.000 0.000
Sm6 0.549 0.553 0.644
Dy1 0.716 0.731 0.109
Dy2 0.807 0.838 0.327
Dy3 0.921 0.959 0.772
Dy4 0.627 0.622 0.884
Dy5 0.418 0.942 0.273
Dy6 0.781 0.264 0.391
Dy7 0.125 0.614 0.387
Dy8 0.634 0.098 0.951
Dy9 0.366 0.902 0.049
Dy10 0.875 0.386 0.613
Dy11 0.079 0.041 0.228
Dy12 0.582 0.058 0.727
Dy13 0.373 0.378 0.116
Dy14 0.219 0.736 0.609
Dy15 0.193 0.162 0.673
Dy16 0.284 0.269 0.891
Th1 0.695 0.158 0.175
Th2 0.860 0.886 0.551
Th3 0.140 0.114 0.449
Th4 0.305 0.842 0.825

---

10.
First-principles (GGA-PBE) data for crystalline SmDyTh at its relaxed geometry, as listed in Alexandria via LeMat-Bulk.

DFT formation energy (eV per atom): 0.02
E above lowest polymorph (kJ per mole of atoms): 0.0

Unit cell a=3.592 b=3.592 c=17.597 alpha=90.02 beta=95.85 gamma=119.98
Fractional positions:
Sm1 0.610 0.305 0.915
Sm2 0.390 0.695 0.085
Dy1 0.836 0.418 0.254
Dy2 0.164 0.582 0.746
Th1 0.279 0.140 0.419
Th2 0.721 0.860 0.581

---

11.
First-principles (GGA-PBE) data for crystalline SmDy8Th2 at its relaxed geometry, as listed in Alexandria via LeMat-Bulk.

DFT formation energy (eV per atom): 0.03
E above lowest polymorph (kJ per mole of atoms): 0.0

Unit cell a=6.164 b=7.961 c=9.413 alpha=120.42 beta=108.95 gamma=97.59
Fractional positions:
Sm1 0.500 0.000 0.000
Dy1 0.135 0.278 0.188
Dy2 0.045 0.089 0.724
Dy3 0.680 0.369 0.912
Dy4 0.597 0.187 0.457
Dy5 0.403 0.813 0.543
Dy6 0.320 0.631 0.088
Dy7 0.955 0.911 0.276
Dy8 0.865 0.722 0.812
Th1 0.777 0.547 0.367
Th2 0.223 0.453 0.633

---

12.
First-principles (GGA-PBE) data for crystalline Sm4Dy19Th6 at its relaxed geometry, as listed in Alexandria via LeMat-Bulk.

DFT formation energy (eV per atom): 0.42

Unit cell a=10.801 b=10.801 c=10.801 alpha=109.47 beta=109.47 gamma=109.47
Fractional positions:
Sm1 0.000 0.000 0.642
Sm2 0.000 0.642 0.000
Sm3 0.358 0.358 0.358
Sm4 0.642 0.000 0.000
Dy1 0.735 0.000 0.735
Dy2 0.265 0.000 0.265
Dy3 0.265 0.265 0.000
Dy4 0.735 0.735 0.000
Dy5 0.000 0.735 0.735
Dy6 0.000 0.265 0.265
Dy7 0.000 0.000 0.000
Dy8 0.194 0.212 0.536
Dy9 0.806 0.342 0.019
Dy10 0.676 0.658 0.464
Dy11 0.019 0.806 0.342
Dy12 0.324 0.788 0.981
Dy13 0.536 0.194 0.212
Dy14 0.981 0.324 0.788
Dy15 0.464 0.676 0.658
Dy16 0.788 0.981 0.324
Dy17 0.342 0.019 0.806
Dy18 0.212 0.536 0.194
Dy19 0.658 0.464 0.676
Th1 0.371 0.500 0.871
Th2 0.629 0.500 0.129
Th3 0.129 0.629 0.500
Th4 0.871 0.371 0.500
Th5 0.500 0.871 0.371
Th6 0.500 0.129 0.629

---

13.
First-principles (GGA-PBE) data for crystalline Sm2Dy7Th3 at its relaxed geometry, as listed in Alexandria via LeMat-Bulk.

DFT formation energy (eV per atom): 0.35

Unit cell a=5.510 b=6.065 c=12.215 alpha=91.38 beta=90.00 gamma=90.00
Fractional positions:
Sm1 0.500 0.600 0.277
Sm2 0.500 0.400 0.723
Dy1 0.500 0.237 0.454
Dy2 0.500 0.763 0.546
Dy3 0.000 0.441 0.181
Dy4 0.000 0.000 0.000
Dy5 0.000 0.559 0.819
Dy6 0.500 0.927 0.829
Dy7 0.500 0.073 0.171
Th1 0.500 0.500 0.000
Th2 0.000 0.932 0.358
Th3 0.000 0.068 0.642

---

14.
First-principles (GGA-PBE) data for crystalline Sm12DyTh7 at its relaxed geometry, as listed in Alexandria via LeMat-Bulk.

DFT formation energy (eV per atom): 0.90

Unit cell a=10.008 b=10.008 c=10.008 alpha=109.47 beta=109.47 gamma=109.47
Last column: magnetic moment on the atom in μB.
Fractional positions:
Sm1 0.469 0.699 0.771  0.02
Sm2 0.928 0.699 0.229  0.02
Sm3 0.531 0.301 0.229  0.02
Sm4 0.072 0.301 0.771  0.02
Sm5 0.771 0.072 0.301  0.02
Sm6 0.771 0.469 0.699  0.02
Sm7 0.229 0.928 0.699  0.02
Sm8 0.229 0.531 0.301  0.02
Sm9 0.699 0.771 0.469  0.02
Sm10 0.301 0.229 0.531  0.02
Sm11 0.699 0.229 0.928  0.02
Sm12 0.301 0.771 0.072  0.02
Dy1 0.000 0.000 0.000  -0.01
Th1 0.500 0.500 0.000  0.09
Th2 0.000 0.500 0.500  0.09
Th3 0.500 0.000 0.500  0.09
Th4 0.500 0.500 0.500  0.03
Th5 0.000 0.000 0.500  0.03
Th6 0.500 0.000 0.000  0.03
Th7 0.000 0.500 0.000  0.03

---

15.
First-principles (GGA-PBE) data for crystalline SmDy3Th3 at its relaxed geometry, as listed in Alexandria via LeMat-Bulk.

DFT formation energy (eV per atom): 0.06
E above lowest polymorph (kJ per mole of atoms): 1.8

Unit cell a=5.830 b=9.512 c=9.512 alpha=120.00 beta=90.00 gamma=90.00
Fractional positions:
Sm1 0.250 0.333 0.667
Sm2 0.750 0.667 0.333
Dy1 0.750 0.804 0.762
Dy2 0.750 0.957 0.196
Dy3 0.250 0.762 0.957
Dy4 0.750 0.238 0.043
Dy5 0.250 0.043 0.804
Dy6 0.250 0.196 0.238
Th1 0.750 0.515 0.898
Th2 0.750 0.383 0.485
Th3 0.250 0.898 0.383
Th4 0.750 0.102 0.617
Th5 0.250 0.617 0.515
Th6 0.250 0.485 0.102

---

16.
First-principles (GGA-PBE) data for crystalline Sm7Dy4Th at its relaxed geometry, as listed in Alexandria via LeMat-Bulk.

DFT formation energy (eV per atom): 0.29
E above lowest polymorph (kJ per mole of atoms): 26.5

Unit cell a=6.020 b=11.606 c=6.764 alpha=83.50 beta=63.58 gamma=74.97
Fractional positions:
Sm1 0.788 0.921 0.503
Sm2 0.212 0.079 0.497
Sm3 0.060 0.676 0.203
Sm4 0.940 0.324 0.797
Sm5 0.370 0.501 0.759
Sm6 0.500 0.000 0.000
Sm7 0.630 0.499 0.241
Dy1 0.638 0.223 0.500
Dy2 0.362 0.777 0.500
Dy3 0.753 0.681 0.812
Dy4 0.247 0.319 0.188
Th1 0.000 0.000 0.000

---

17.
First-principles (GGA-PBE) data for crystalline Sm12Dy7Th at its relaxed geometry, as listed in Alexandria via LeMat-Bulk.

DFT formation energy (eV per atom): 0.23

Unit cell a=8.756 b=8.756 c=8.756 alpha=89.74 beta=89.74 gamma=89.74
Fractional positions:
Sm1 0.872 0.279 0.737
Sm2 0.721 0.263 0.128
Sm3 0.620 0.147 0.503
Sm4 0.853 0.497 0.380
Sm5 0.263 0.128 0.721
Sm6 0.497 0.380 0.853
Sm7 0.503 0.620 0.147
Sm8 0.737 0.872 0.279
Sm9 0.147 0.503 0.620
Sm10 0.380 0.853 0.497
Sm11 0.279 0.737 0.872
Sm12 0.128 0.721 0.263
Dy1 0.848 0.620 0.944
Dy2 0.380 0.056 0.152
Dy3 0.056 0.152 0.380
Dy4 0.500 0.500 0.500
Dy5 0.944 0.848 0.620
Dy6 0.620 0.944 0.848
Dy7 0.152 0.380 0.056
Th1 0.000 0.000 0.000

---

18.
First-principles (GGA-PBE) data for crystalline Sm4Dy7Th at its relaxed geometry, as listed in Alexandria via LeMat-Bulk.

DFT formation energy (eV per atom): 0.02
E above lowest polymorph (kJ per mole of atoms): 0.0

Unit cell a=7.134 b=7.991 c=7.992 alpha=84.13 beta=102.66 gamma=63.51
Fractional positions:
Sm1 0.494 0.670 0.331
Sm2 0.506 0.330 0.669
Sm3 0.754 0.834 0.671
Sm4 0.246 0.166 0.329
Dy1 0.752 0.495 0.000
Dy2 0.248 0.505 0.000
Dy3 0.000 0.330 0.670
Dy4 0.000 0.670 0.330
Dy5 0.246 0.836 0.671
Dy6 0.500 0.000 0.000
Dy7 0.754 0.164 0.329
Th1 0.000 0.000 0.000

---

19.
First-principles (GGA-PBE) data for crystalline Sm3Dy8Th2 at its relaxed geometry, as listed in Alexandria via LeMat-Bulk.

DFT formation energy (eV per atom): 0.28
E above lowest polymorph (kJ per mole of atoms): 19.1

Unit cell a=5.702 b=7.398 c=10.990 alpha=109.67 beta=90.02 gamma=90.00
Fractional positions:
Sm1 0.500 0.000 0.000
Sm2 0.000 0.281 0.000
Sm3 0.000 0.719 0.000
Dy1 0.000 0.669 0.338
Dy2 0.000 0.331 0.662
Dy3 0.000 0.139 0.279
Dy4 0.000 0.861 0.721
Dy5 0.500 0.606 0.781
Dy6 0.500 0.174 0.781
Dy7 0.500 0.826 0.219
Dy8 0.500 0.394 0.219
Th1 0.500 0.245 0.490
Th2 0.500 0.755 0.510